Density functional theory data (PBE) for crystalline Li2NbBr at its relaxed geometry.

a = 4.9172 Å, b = 4.9172 Å, c = 4.9172 Å
α = 60.00°, β = 60.00°, γ = 60.00°
Atoms (fractional coordinates):
Li 0.2500 0.2500 0.2500
Li 0.7500 0.7500 0.7500
Nb 0.0000 0.0000 0.0000
Br 0.5000 0.5000 0.5000

Computed properties:
The energy above the lowest structure with this stoichiometry comes out at 0.357 eV per atom. As for the formation energy (no corrections): 677 meV/atom. The calculation puts the total energy at -3.2158 eV per atom. For the density of states at the Fermi level, the calculation gives 0.84 states/eV per atom.



Density functional theory data (PBE) for crystalline BaPtSe2 at its relaxed geometry.

a = 5.2059 Å, b = 5.2059 Å, c = 5.2059 Å
α = 60.00°, β = 60.00°, γ = 60.00°
Atoms (fractional coordinates):
Ba 0.0000 0.0000 0.0000
Pt 0.2500 0.2500 0.2500
Se 0.5000 0.5000 0.5000
Se 0.7500 0.7500 0.7500

Computed properties:
The energy above the lowest structure with this stoichiometry comes out at 0.910 eV per atom. As for the formation energy (no corrections): -163 meV/atom. The calculation puts the total energy at -3.8966 eV per atom. For the density of states at the Fermi level, the calculation gives 1.38 states/eV per atom.



Density functional theory data (PBE) for crystalline Sr2AlNi2 at its relaxed geometry.

a = 7.0582 Å, b = 7.0582 Å, c = 4.5359 Å
α = 90.00°, β = 90.00°, γ = 90.00°
Atoms (fractional coordinates):
Sr 0.1796 0.3204 0.0000
Sr 0.3204 0.8204 0.0000
Sr 0.6796 0.1796 0.0000
Sr 0.8204 0.6796 0.0000
Al 0.0000 0.0000 0.5000
Al 0.5000 0.5000 0.5000
Ni 0.1212 0.6212 0.5000
Ni 0.3788 0.1212 0.5000
Ni 0.6212 0.8788 0.5000
Ni 0.8788 0.3788 0.5000

Computed properties:
The calculation puts the total energy at -3.7599 eV per atom. The formation energy comes out at -0.03 eV/atom. For the density of states at the Fermi level, the calculation gives 0.55 states/eV per atom.